# 1
BaTlCd2 | GGA-PBE | relaxed

```
4
Lattice="3.472 -5.525 0.000 3.472 5.525 0.000 -1.385 0.000 3.465" Properties=species:S:1:pos:R:3 pbc="T T T"
Ba 0.000 0.000 0.000
Tl 3.472 0.000 0.000
Cd 1.043 2.763 1.732
Cd 1.043 -2.763 1.732
```

Results
magnetic moment	0.000	μB/cell
energy of formation	-0.0456	eV per atom
DFT total energy	-1.5754	eV/atom


# 2
BaTl2Cd2 | GGA-PBE | relaxed

```
10
Lattice="9.144 0.000 0.000 0.000 9.144 0.000 0.000 0.000 3.745" Properties=species:S:1:pos:R:3 pbc="T T T"
Ba 0.000 0.000 0.000
Ba 4.572 4.572 0.000
Tl 1.204 3.368 0.000
Tl 3.368 7.940 0.000
Tl 5.776 1.204 0.000
Tl 7.940 5.776 0.000
Cd 1.474 6.046 1.872
Cd 3.098 1.474 1.872
Cd 6.046 7.670 1.872
Cd 7.670 3.098 1.872
```

Results
magnetic moment	0.000	μB/cell
energy of formation	-0.1200	eV per atom
DFT total energy	-1.8171	eV/atom


# 3
Ba2TlCd2 | GGA-PBE | relaxed

```
10
Lattice="6.048 -2.706 0.000 6.048 2.706 0.000 -3.467 0.000 10.787" Properties=species:S:1:pos:R:3 pbc="T T T"
Ba -0.112 0.000 4.198
Ba 1.918 0.000 0.710
Ba 6.711 0.000 10.077
Ba 8.741 0.000 6.590
Tl 0.091 0.000 7.907
Tl 8.538 0.000 2.880
Cd 3.564 0.000 4.051
Cd 5.552 0.000 1.515
Cd 3.076 0.000 9.273
Cd 5.065 0.000 6.736
```

Results
magnetic moment	0.000	μB/cell
energy of formation	-0.2996	eV per atom
DFT total energy	-1.9080	eV/atom


# 4
Ba3TlCd | GGA-PBE | relaxed

```
10
Lattice="3.056 -11.788 0.000 3.056 11.788 0.000 0.000 0.000 6.110" Properties=species:S:1:pos:R:3 pbc="T T T"
Ba 3.056 10.019 4.582
Ba 3.056 5.908 4.582
Ba 3.056 1.803 4.582
Ba 3.056 -1.803 1.527
Ba 3.056 -5.908 1.527
Ba 3.056 -10.019 1.527
Tl 3.056 8.065 1.527
Tl 3.056 -8.065 4.582
Cd 3.056 3.777 1.527
Cd 3.056 -3.777 4.582
```

Results
magnetic moment	0.000	μB/cell
energy of formation	-0.3215	eV per atom
DFT total energy	-2.1314	eV/atom